Be5FeRh4 after structural relaxation. Source: Alexandria via LeMat-Bulk, functional PBE.

Unit cell a=2.780 b=2.780 c=13.730 alpha=90.00 beta=90.00 gamma=90.00
Fractional coordinates of all 10 atoms:
Be1 0.000 0.000 0.000
Be2 0.000 0.000 0.203
Be3 0.000 0.000 0.398
Be4 0.000 0.000 0.602
Be5 0.000 0.000 0.797
Fe1 0.500 0.500 0.500
Rh1 0.500 0.500 0.102
Rh2 0.500 0.500 0.307
Rh3 0.500 0.500 0.693
Rh4 0.500 0.500 0.898

Summary:
Uncorrected energy ... -6.170 eV per atom
Energy of formation from the pure elements ... -0.52 eV per atom
Space group ... No. 123